Computed, not measured: crystalline Li2RhC2O6 at its relaxed geometry at the PBE level of DFT.

Cell lengths 4.8933, 4.8933, 6.0167 Å; angles 90.00, 90.00, 120.00 degrees
With the nearest neighbours (Å) after each atom.
Atoms (fractional coordinates):
O1 0.3929 0.0761 0.2166  1 C 1.30
O2 0.6071 0.9239 0.7834  1 C 1.30
O3 0.0761 0.6831 0.7834  1 C 1.30
O4 0.9239 0.3169 0.2166  1 C 1.30
O5 0.6831 0.6071 0.2166  1 C 1.30
O6 0.3169 0.3929 0.7834  1 C 1.30
C1 0.3333 0.6667 0.7858  3 O 1.30
C2 0.6667 0.3333 0.2142  3 O 1.30
Rh1 0.0000 0.0000 0.0000  6 O 2.19
Li1 0.3333 0.6667 0.2787  3 O 1.91
Li2 0.6667 0.3333 0.7213  3 O 1.91

M_tot in μB per cell: 1.00
ΔE_f (raw) in eV per atom: -1.335